1.
Density functional theory data (PBE-GGA) for a relaxed Sr2ZnMo crystal.

Cell: 3.8755 3.8207 8.7105 Å, 64.02 90.00 90.00°
Last column: magnetic moment on the atom in μB.
Atoms (fractional coordinates):
Zn: 0.5000 0.2500 0.2500  -0.02
Sr: 0.0000 0.4983 0.5022  0.02
Sr: 0.0000 0.0017 0.9978  0.02
Mo: 0.5000 0.7500 0.7500  2.42

Output
Formation enthalpy at 0 K, eV/atom: 0.67
Magnetic moment, μB per cell: 2.90
Density of states at the Fermi level, states/eV/cell: 3.9


2.
Density functional theory data (PBE-GGA) for a relaxed NiAgSe2 crystal.

Cell: 3.5587 3.5587 7.6084 Å, 90.00 90.00 122.18°
Atoms (fractional coordinates):
Se: 0.0000 0.0000 0.5429
Ni: 0.5000 0.5000 0.7500
Se: 0.0000 0.0000 0.9571
Ag: 0.5000 0.5000 0.2500

Output
ΔE_f (raw), eV/atom: 0.1428
Magnetic moment, μB per cell: 0.00
Energy above the most stable polymorph in this dataset, meV/atom: 289.6
Density of states at the Fermi level, states/eV/cell: 3.1


3.
Density functional theory data (PBE-GGA) for a relaxed Pa2Bi4Au crystal.

Cell: 4.8976 6.4956 6.4956 Å, 99.78 90.00 90.00°
Atoms (fractional coordinates):
Pa: 0.0000 0.7251 0.2749
Bi: 0.0000 0.7776 0.7776
Bi: 0.5000 0.5000 0.0000
Au: 0.5000 0.5000 0.5000
Bi: 0.5000 0.0000 0.5000
Bi: 0.0000 0.2224 0.2224
Pa: 0.0000 0.2749 0.7251

Output
Formation enthalpy at 0 K, eV/atom: -0.17
Magnetic moment, μB per cell: 0.00
Density of states at the Fermi level, states/eV/cell: 5.2


4.
Density functional theory data (PBE-GGA) for a relaxed Rb3La2ThS6 crystal.

Cell: 7.3831 7.3831 8.0947 Å, 98.75 98.75 120.00°
Atoms (fractional coordinates):
Th: 0.0000 0.0000 0.0000
S: 0.7441 0.7441 0.1996
Rb: 0.8315 0.1685 0.5000
S: 0.3891 0.0665 0.1993
S: 0.6109 0.9335 0.8007
S: 0.9335 0.6109 0.8007
La: 0.6665 0.3335 0.0000
S: 0.2559 0.2559 0.8004
Rb: 0.5000 0.5000 0.5000
La: 0.3335 0.6665 0.0000
Rb: 0.1685 0.8315 0.5000
S: 0.0665 0.3891 0.1993

Output
ΔE_f (raw), eV/atom: -1.8147
Magnetic moment, μB per cell: 0.00
Density of states at the Fermi level, states/eV/cell: 5.3


5.
Density functional theory data (PBE-GGA) for a relaxed Er3Bi2O2 crystal.

Cell: 3.7747 6.4822 7.2915 Å, 70.46 75.00 73.07°
Atoms (fractional coordinates):
Bi: 0.5784 0.2075 0.6356
Er: 0.8034 0.6082 0.7850
Er: 0.0000 0.0000 0.0000
O: 0.7984 0.3315 0.0716
O: 0.2016 0.6685 0.9284
Bi: 0.4216 0.7925 0.3644
Er: 0.1966 0.3918 0.2150

Output
ΔE_f (raw), eV/atom: -2.0919
Magnetic moment, μB per cell: 0.00
Density of states at the Fermi level, states/eV/cell: 0.8


6.
Density functional theory data (PBE-GGA) for a relaxed Li2TeSe3 crystal.

Cell: 12.1388 5.5917 8.3078 Å, 87.57 90.00 90.00°
Atoms (fractional coordinates):
Li: 0.7749 0.2619 0.1497
Se: 0.4046 0.7405 0.6264
Se: 0.5758 0.2550 0.8787
Te: 0.5860 0.7172 0.3141
Se: 0.7487 0.7693 0.1172
Se: 0.9242 0.2550 0.3787
Li: 0.7251 0.2619 0.6497
Li: 0.2749 0.7381 0.3503
Te: 0.0860 0.2828 0.1859
Li: 0.4103 0.2388 0.1329
Te: 0.4140 0.2828 0.6859
Se: 0.7513 0.7693 0.6172
Li: 0.5897 0.7612 0.8671
Se: 0.0758 0.7450 0.6213
Se: 0.2487 0.2307 0.3828
Se: 0.0954 0.7405 0.1264
Se: 0.9046 0.2595 0.8736
Se: 0.2513 0.2307 0.8828
Te: 0.9140 0.7172 0.8141
Li: 0.0897 0.2388 0.6329
Li: 0.2251 0.7381 0.8503
Se: 0.5954 0.2595 0.3736
Li: 0.9103 0.7612 0.3671
Se: 0.4242 0.7450 0.1213

Output
ΔE_f (raw), eV/atom: -0.6349
Magnetic moment, μB per cell: 0.00
Energy above the most stable polymorph in this dataset, meV/atom: 0.0


7.
Density functional theory data (PBE-GGA) for a relaxed Li8SmAg4 crystal.

Cell: 5.6485 7.1349 7.1349 Å, 80.99 66.68 66.68°
Atoms (fractional coordinates):
Ag: 0.0000 0.5000 0.0000
Sm: 0.0000 0.0000 0.0000
Li: 0.5000 0.7802 0.2198
Li: 0.2802 0.2198 0.2198
Li: 0.3487 0.6513 0.6513
Ag: 0.0000 0.0000 0.5000
Li: 0.0000 0.6513 0.3487
Li: 0.7198 0.7802 0.7802
Li: 0.0000 0.3487 0.6513
Ag: 0.5000 0.0000 0.5000
Ag: 0.5000 0.5000 0.0000
Li: 0.5000 0.2198 0.7802
Li: 0.6513 0.3487 0.3487

Output
Formation enthalpy at 0 K, eV/atom: -0.13
Magnetic moment, μB per cell: 0.02
Density of states at the Fermi level, states/eV/cell: 7.6


8.
Density functional theory data (PBE-GGA) for a relaxed Mg2Co5Si2Ge crystal.

Cell: 3.1132 9.0380 9.0380 Å, 90.00 90.00 90.00°
Atoms (fractional coordinates):
Co: 0.5000 0.7974 0.9307
Mg: 0.0000 0.6718 0.1718
Co: 0.5000 0.0693 0.7974
Mg: 0.0000 0.8282 0.6718
Si: 0.0000 0.6265 0.8735
Ge: 0.0000 0.0000 0.0000
Co: 0.5000 0.2026 0.0693
Co: 0.5000 0.5693 0.7026
Ge: 0.0000 0.5000 0.5000
Co: 0.5000 0.0000 0.5000
Co: 0.5000 0.2974 0.5693
Mg: 0.0000 0.3282 0.8282
Co: 0.5000 0.4307 0.2974
Si: 0.0000 0.1265 0.6265
Co: 0.5000 0.7026 0.4307
Mg: 0.0000 0.1718 0.3282
Si: 0.0000 0.3735 0.1265
Co: 0.5000 0.9307 0.2026
Si: 0.0000 0.8735 0.3735
Co: 0.5000 0.5000 0.0000

Output
ΔE_f (raw), eV/atom: -0.2931
Magnetic moment, μB per cell: 0.00
Density of states at the Fermi level, states/eV/cell: 10.3


Which value of magnetic moment does entry 6 give?
0.00 μB per cell